No. 1
Here is a relaxed structure of Sr2HgSbN from Alexandria. Energies are from PBE.

abc: 5.337 5.337 4.538
angles: 90.00 90.00 90.00
Space group P4/mmm (No. 123)
Unique sites:
Sr1 0.000 0.500 0.000 [2 per cell]
Hg1 0.000 0.000 0.500 [1 per cell]
Sb1 0.500 0.500 0.500 [1 per cell]
N1 0.000 0.000 0.000 [1 per cell]

Properties
- E_tot: -3.73 eV per atom
- Fermi-level density of states: 1.5 states/eV per cell

***

No. 2
Here is a relaxed structure of HgSbTe2N from Alexandria. Energies are from PBE.

abc: 5.975 5.975 3.908
angles: 90.00 90.00 90.00
Space group P4/mmm (No. 123)
Unique sites:
Hg1 0.000 0.000 0.000 [1 per cell]
Sb1 0.500 0.500 0.500 [1 per cell]
Te1 0.000 0.500 0.500 [2 per cell]
N1 0.500 0.500 0.000 [1 per cell]

Properties
- Fermi-level density of states: 5.0 states/eV per cell
- Energy relative to the lowest polymorph listed for this composition: 0.0796 eV per atom

***

No. 3
Here is a relaxed structure of HgSbTe2N from Alexandria. Energies are from PBE.

abc: 5.761 5.761 4.142
angles: 90.00 90.00 90.00
Space group P4/mmm (No. 123)
Unique sites:
Hg1 0.000 0.000 0.000 [1 per cell]
Sb1 0.500 0.500 0.500 [1 per cell]
Te1 0.000 0.500 0.000 [2 per cell]
N1 0.000 0.000 0.500 [1 per cell]

Properties
- Fermi-level density of states: 3.1 states/eV per cell
- Energy relative to the lowest polymorph listed for this composition: 0.3906 eV per atom

***

No. 4
Here is a relaxed structure of HgSbTe2N from Alexandria. Energies are from PBE.

abc: 4.960 4.960 4.755
angles: 90.00 90.00 90.00
Space group P4/mmm (No. 123)
Unique sites:
Hg1 0.000 0.000 0.000 [1 per cell]
Sb1 0.500 0.500 0.000 [1 per cell]
Te1 0.000 0.500 0.500 [2 per cell]
N1 0.500 0.500 0.500 [1 per cell]

Properties
- Fermi-level density of states: 4.7 states/eV per cell
- Energy relative to the lowest polymorph listed for this composition: 0.0000 eV per atom

***

No. 5
Here is a relaxed structure of HgSbTe2N from Alexandria. Energies are from PBE.

abc: 5.575 5.575 5.562
angles: 90.00 90.00 90.00
Space group P4/mmm (No. 123)
Unique sites:
Hg1 0.000 0.000 0.000 [1 per cell]
Sb1 0.000 0.000 0.500 [1 per cell]
Te1 0.000 0.500 0.000 [2 per cell]
N1 0.500 0.500 0.500 [1 per cell]

Properties
- Fermi-level density of states: 12.6 states/eV per cell
- Energy relative to the lowest polymorph listed for this composition: 1.2883 eV per atom

***

No. 6
Here is a relaxed structure of UHgSbN from Alexandria. Energies are from PBE.

abc: 3.960 3.960 11.575
angles: 90.00 90.00 90.00
Space group P4/nmm (No. 129, origin choice 2)
Unique sites:
U1 0.250 0.250 0.096 [2 per cell]
Hg1 0.250 0.750 0.500 [2 per cell]
Sb1 0.250 0.250 0.763 [2 per cell]
N1 0.250 0.750 0.000 [2 per cell]

Properties
- E_tot: -6.61 eV per atom
- Fermi-level density of states: 6.0 states/eV per cell

***

No. 7
Here is a relaxed structure of Y4HgSbN from Alexandria. Energies are from PBE.

abc: 6.643 15.768 6.640
angles: 90.00 90.00 90.00
Space group Cmcm (No. 63)
Unique sites:
Y1 0.000 0.081 0.250 [4 per cell]
Y2 0.000 0.410 0.250 [4 per cell]
Y3 0.250 0.250 0.000 [8 per cell]
Hg1 0.000 0.114 0.750 [4 per cell]
Sb1 0.000 0.392 0.750 [4 per cell]
N1 0.000 0.251 0.250 [4 per cell]

Properties
- E_tot: -6.48 eV per atom
- Fermi-level density of states: 9.9 states/eV per cell

***

No. 8
Here is a relaxed structure of Sc3HgN from Alexandria. Energies are from PBE.

abc: 13.513 3.291 10.561
angles: 90.00 128.55 90.00
Space group Cm (No. 8)
Unique sites:
Sc1 0.000 0.000 0.000 [2 per cell]
Sc2 0.002 0.500 0.513 [2 per cell]
Sc3 0.132 0.000 0.369 [2 per cell]
Sc4 0.140 0.500 0.879 [2 per cell]
Sc5 0.245 0.500 0.227 [2 per cell]
Sc6 0.383 0.000 0.131 [2 per cell]
Hg1 0.249 0.000 0.745 [2 per cell]
Hg2 0.382 0.500 0.622 [2 per cell]
N1 0.066 0.500 0.185 [2 per cell]
N2 0.185 0.000 0.047 [2 per cell]

Properties
- E_tot: -6.41 eV per atom
- Fermi-level density of states: 11.8 states/eV per cell

***

No. 9
Here is a relaxed structure of Sc3HgN from Alexandria. Energies are from PBE.

abc: 6.165 6.165 11.055
angles: 90.00 90.00 90.00
Space group I-4m2 (No. 119)
Unique sites:
Sc1 0.000 0.000 0.128 [4 per cell]
Sc2 0.000 0.250 0.618 [8 per cell]
Hg1 0.000 0.500 0.118 [4 per cell]
N1 0.000 0.000 0.500 [2 per cell]
N2 0.000 0.500 0.750 [2 per cell]

Properties
- E_tot: -6.03 eV per atom
- Fermi-level density of states: 15.1 states/eV per cell

***

No. 10
Here is a relaxed structure of Sc3HgN from Alexandria. Energies are from PBE.

abc: 8.6960 8.6960 5.5348
angles: 90.00 90.00 120.00
Space group R3m (No. 160, hexagonal axes)
Unique sites:
Sc1 0.2112 0.4224 0.0000 [9 per cell]
Hg1 0.0000 0.0000 0.8873 [3 per cell]
N1 0.0000 0.0000 0.4653 [3 per cell]

Properties
- E_tot: -5.74 eV per atom
- Fermi-level density of states: 17.8 states/eV per cell

***

No. 11
Here is a relaxed structure of Sc3HgN from Alexandria. Energies are from PBE.

abc: 7.989 5.848 8.712
angles: 90.00 114.95 90.00
Space group P2_1/c (No. 14)
Unique sites:
Sc1 0.059 0.076 0.356 [4 per cell]
Sc2 0.188 0.568 0.544 [4 per cell]
Sc3 0.347 0.131 0.762 [4 per cell]
Hg1 0.401 0.684 0.899 [4 per cell]
N1 0.072 0.249 0.597 [4 per cell]

Properties
- E_tot: -6.36 eV per atom
- Fermi-level density of states: 16.9 states/eV per cell

***

No. 12
Here is a relaxed structure of Sc3HgN from Alexandria. Energies are from PBE.

abc: 3.6823 3.6823 17.4256
angles: 90.00 90.00 120.00
Space group P6_3/mmc (No. 194)
Unique sites:
Sc1 0.0000 0.0000 0.2500 [2 per cell]
Sc2 0.3333 0.6667 0.1223 [4 per cell]
Hg1 0.0000 0.0000 0.0000 [2 per cell]
N1 0.3333 0.6667 0.2500 [2 per cell]

Properties
- E_tot: -6.24 eV per atom
- Fermi-level density of states: 9.4 states/eV per cell

***

| no. | spin magnetization (μB per cell) |
| --- | --- |
| 1 | 0.00 |
| 2 | 0.00 |
| 3 | 1.50 |
| 4 | 0.00 |
| 5 | 0.00 |
| 6 | 0.58 |
| 7 | 0.00 |
| 8 | 2.18 |
| 9 | 0.00 |
| 10 | 4.49 |
| 11 | 0.00 |
| 12 | 0.00 |